Record 1
{"formula": "LiThBiTe", "functional": "PBE", "state": "relaxed", "lattice": [[2.498, 1.442, 11.882], [-2.498, 1.442, 11.882], [0.000, -2.885, 11.882]], "species": ["Li", "Li", "Th", "Th", "Bi", "Bi", "Te", "Te"], "frac_coords": [[0.197, 0.197, 0.197], [0.803, 0.803, 0.803], [0.398, 0.398, 0.398], [0.602, 0.602, 0.602], [0.302, 0.302, 0.302], [0.698, 0.698, 0.698], [0.117, 0.117, 0.117], [0.883, 0.883, 0.883]]}

***

Record 2
{"formula": "Ni2AgHg", "functional": "PBE", "state": "relaxed", "delta_e_f_ev_per_atom": 0.253, "lattice": [[3.057, 0.000, 0.000], [0.000, 3.273, 0.000], [0.000, 0.000, 6.000]], "species": ["Ni", "Ni", "Ag", "Hg"], "frac_coords": [[0.000, 0.000, 0.244], [0.000, 0.000, 0.756], [0.500, 0.500, 0.000], [0.500, 0.500, 0.500]]}

***

Record 3
{"formula": "Tb2Tm3Ag2", "functional": "PBE", "state": "relaxed", "delta_e_f_ev_per_atom": -0.113, "relative_energy_mev_per_atom": 66, "lattice": [[9.201, 0.000, 0.000], [0.000, 5.314, 0.000], [-3.070, 0.000, 7.638]], "species": ["Tb", "Tb", "Tb", "Tb", "Tm", "Tm", "Tm", "Tm", "Tm", "Tm", "Ag", "Ag", "Ag", "Ag"], "frac_coords": [[0.076, 0.000, 0.227], [0.424, 0.500, 0.773], [0.576, 0.500, 0.227], [0.924, 0.000, 0.773], [0.000, 0.500, 0.500], [0.160, 0.500, 0.980], [0.340, 0.000, 0.020], [0.500, 0.000, 0.500], [0.660, 0.000, 0.980], [0.840, 0.500, 0.020], [0.212, 0.000, 0.639], [0.288, 0.500, 0.361], [0.712, 0.500, 0.639], [0.788, 0.000, 0.361]]}

***

Record 4
{"formula": "BaAlCuPd", "functional": "PBE", "state": "relaxed", "delta_e_f_ev_per_atom": -0.466, "lattice": [[7.654, 0.000, 0.000], [0.000, 4.409, 0.000], [-2.545, 0.000, 5.730]], "species": ["Ba", "Ba", "Al", "Al", "Cu", "Cu", "Pd", "Pd"], "frac_coords": [[0.000, 0.000, 0.000], [0.500, 0.500, 0.000], [0.496, 0.000, 0.488], [0.996, 0.500, 0.488], [0.190, 0.000, 0.567], [0.690, 0.500, 0.567], [0.309, 0.500, 0.427], [0.809, 0.000, 0.427]]}

***

Number 1: DFT total energy -4.735 eV/atom, N(E_F) 0.0327 states/eV/atom. Number 2: DFT total energy -3.426 eV/atom, N(E_F) 0.6453 states/eV/atom. Number 3: DFT total energy -4.166 eV/atom, N(E_F) 1.0364 states/eV/atom. Number 4: DFT total energy -4.204 eV/atom, N(E_F) 0.5722 states/eV/atom.